# 1
# LiEr2Sc | Alexandria | PBE | relaxed
# * calculated volume: 26.202 Å³/atom
# * polymorph energy (0 for the lowest one): 72.8 meV/atom
# * electronic total energy: -4.1830 eV/atom
# * energy relative to the elements: 0.64 eV per formula unit
# * D(E_F): 15.7 states/eV per cell
data_LiEr2Sc
_cell_length_a 7.484
_cell_length_b 7.484
_cell_length_c 7.484
_cell_angle_alpha 90.00
_cell_angle_beta 90.00
_cell_angle_gamma 90.00
_symmetry_space_group_name_H-M 'F m -3 m'
_symmetry_Int_Tables_number 225
_symmetry_space_group_name_Hall '-F 4 2 3'
loop_
_atom_site_label
_atom_site_type_symbol
_atom_site_fract_x
_atom_site_fract_y
_atom_site_fract_z
_atom_site_occupancy
Li1 Li 0.000 0.000 0.000 1
Er1 Er 0.250 0.250 0.250 1
Sc1 Sc 0.000 0.000 0.500 1

# 2
# LiEr2Sc | Alexandria | PBE | relaxed
# * calculated volume: 28.510 Å³/atom
# * polymorph energy (0 for the lowest one): 83.1 meV/atom
# * electronic total energy: -4.1727 eV/atom
# * energy relative to the elements: 0.68 eV per formula unit
# * D(E_F): 15.3 states/eV per cell
data_LiEr2Sc
_cell_length_a 3.3497
_cell_length_b 3.3497
_cell_length_c 35.2087
_cell_angle_alpha 90.00
_cell_angle_beta 90.00
_cell_angle_gamma 120.00
_symmetry_space_group_name_H-M 'R -3 m'
_symmetry_Int_Tables_number 166
_symmetry_space_group_name_Hall '-R 3 2"'
loop_
_atom_site_label
_atom_site_type_symbol
_atom_site_fract_x
_atom_site_fract_y
_atom_site_fract_z
_atom_site_occupancy
Li1 Li 0.0000 0.0000 0.0000 1
Er1 Er 0.0000 0.0000 0.0909 1
Sc1 Sc 0.0000 0.0000 0.5000 1

# 3
# LiEr2Sc | Alexandria | PBE | relaxed
# * calculated volume: 26.197 Å³/atom
# * polymorph energy (0 for the lowest one): 40.4 meV/atom
# * electronic total energy: -4.2155 eV/atom
# * energy relative to the elements: 0.51 eV per formula unit
# * D(E_F): 4.8 states/eV per cell
data_LiEr2Sc
_cell_length_a 5.350
_cell_length_b 5.350
_cell_length_c 3.660
_cell_angle_alpha 90.00
_cell_angle_beta 90.00
_cell_angle_gamma 90.00
_symmetry_space_group_name_H-M 'P 4/m m m'
_symmetry_Int_Tables_number 123
_symmetry_space_group_name_Hall '-P 4 2'
loop_
_atom_site_label
_atom_site_type_symbol
_atom_site_fract_x
_atom_site_fract_y
_atom_site_fract_z
_atom_site_occupancy
Li1 Li 0.000 0.000 0.000 1
Er1 Er 0.000 0.500 0.500 1
Sc1 Sc 0.500 0.500 0.000 1